(1)
Li2YZr after structural relaxation, computed with PBE.

The structure in POSCAR format:
```
Li2YZr
1.0
-4.8205 2.9177 -1.3413
-0.1120 -3.1368 5.3064
0.3708 2.2661 2.0392
Li Zr Y
2 1 1
Direct
0.0000 0.0000 0.0000 Li
0.5000 0.0000 0.5000 Li
0.5000 0.5000 0.0000 Zr
0.0000 0.5000 0.5000 Y
```

Results
M_tot = 0.00 μB/cell
total DFT energy (no corrections) = -4.429 eV per atom
energy of formation = 6.47 kcal/mol of atoms
distance to the lowest polymorph of the same formula = 143 meV/atom
crystal system = monoclinic

---

(2)
HfGeMoOs2 after structural relaxation, computed with PBE.

The structure in POSCAR format:
```
HfGeMoOs2
1.0
-2.7364 2.9852 -1.8737
-2.9805 -0.4043 3.7086
2.1598 3.2948 2.0950
Os Mo Ge Hf
2 1 1 1
Direct
0.5000 0.0000 0.0000 Os
0.0000 0.0000 0.5000 Os
0.5000 0.5000 0.5000 Mo
0.0000 0.0000 0.0000 Ge
0.0000 0.5000 0.0000 Hf
```

Results
M_tot = 0.00 μB/cell
total DFT energy (no corrections) = -8.273 eV per atom
energy of formation = 29.97 kcal/mol of atoms
crystal system = tetragonal

---

Among the records above, which one has the highest total DFT energy (no corrections)? Li2YZr

---

What is the energy of formation in the second record? 29.97 kcal/mol of atoms